First-principles (meta-GGA SCAN) data for a crystal of ZrAgCl2 relaxed with PBEsol, as listed in Alexandria.

Calculated density, Mg/m³: 5.71
Relative energy among the computed polymorphs, eV per atom: 0.000
Magnetic moment, μB per formula unit: 0.00

abc: 3.196 4.358 5.637
angles: 90.00 91.42 90.00
Space group P2/m (No. 10)
One atom of each set of equivalent atoms:
Zr (0.000, 0.000, 0.000) (multiplicity 1)
Ag (0.500, 0.000, 0.500) (multiplicity 1)
Cl (0.183, 0.500, 0.766) (multiplicity 2)